[1]
MnNiPSeN: optimized geometry, PBE-GGA.

Unit cell a=4.2798 b=3.0909 c=5.1780 alpha=90.00 beta=103.73 gamma=90.00
Atoms (fractional coordinates):
Se  0.3623  0.0000  0.9519
Ni  0.8793  0.5000  0.9918
N  0.9789  0.5000  0.3762
Mn  0.2766  0.0000  0.4181
P  0.7060  0.5000  0.5580

ΔE_f (raw) in meV per atom: -177.4
Crystal system: monoclinic
ρ in g/cm3: 5.93

[2]
MnNiPSeN: optimized geometry, PBE-GGA.

Unit cell a=4.1267 b=2.7445 c=12.0168 alpha=90.00 beta=103.30 gamma=90.00
Atoms (fractional coordinates):
N  0.0274  0.5000  0.2216
P  0.6917  0.0000  0.7769
Se  0.3616  0.5000  0.0076
Mn  0.2730  0.5000  0.6765
Mn  0.2730  0.0000  0.1765
N  0.0274  0.0000  0.7216
Se  0.3616  0.0000  0.5076
Ni  0.8493  0.0000  0.9654
Ni  0.8493  0.5000  0.4654
P  0.6917  0.5000  0.2769

ΔE_f (raw) in meV per atom: -51.3
Crystal system: monoclinic
ρ in g/cm3: 5.96

[3]
MnNiPSeN: optimized geometry, PBE-GGA.

Unit cell a=4.3206 b=3.2766 c=5.8423 alpha=90.00 beta=87.35 gamma=90.00
Atoms (fractional coordinates):
Se  0.9674  0.5000  0.6798
Mn  0.0790  0.5000  0.2754
P  0.7246  0.0000  0.2077
Ni  0.0925  0.0000  0.9312
N  0.3491  0.0000  0.2037

ΔE_f (raw) in meV per atom: -117.6
Crystal system: monoclinic
ρ in g/cm3: 4.77

> Look up the ρ of the first one.

5.93 g/cm3